This record from the Alexandria database describes a relaxed MoSeN2O crystal. The functional is GGA+U.

Calculated values
Fermi-level density of states, states/eV per cell: 3.06
Final energy, eV for the cell shown: -28.63
SG: No. 123

The structure in POSCAR format:
```
MoSeN2O
1.0
4.0920 0.0000 0.0000
0.0000 4.0920 0.0000
0.0000 0.0000 3.8015
Mo Se N O
1 1 2 1
Direct
0.0000 0.0000 0.0000
0.5000 0.5000 0.5000
0.0000 0.5000 0.0000
0.5000 0.0000 0.0000
0.0000 0.0000 0.5000
```